Here is a relaxed structure of Li2Mg3Ga from Alexandria. Energies are from PBE.

a b c (Å): 7.9240 10.4158 6.1123
angles (deg): 90.00 104.49 90.00
Space group C2/c (No. 15)
Unique sites:
Li 0.1242 0.1798 0.1355
Mg 0.0000 0.3209 0.7500
Mg 0.1969 0.4215 0.4037
Ga 0.0000 0.0417 0.7500

Results
Its formation energy is -0.043 eV/atom.